[1]
{
  "formula": "LaSb3Pb",
  "functional": "PBE",
  "state": "relaxed",
  "lattice": [[-5.063, 0.507, -3.163], [-1.107, -5.828, 0.839], [-3.006, 1.293, 5.019]],
  "species": ["Pb", "Sb", "Sb", "Sb", "La"],
  "frac_coords": [[0.500, 0.500, 0.500], [0.000, 0.500, 0.000], [0.000, 0.000, 0.500], [0.500, 0.000, 0.000], [0.000, 0.000, 0.000]],
  "raw_formation_energy_ev_per_atom": 0.4275,
  "polymorph_energy_mev_per_atom": 109,
  "magmom_total_mub_per_cell": 0.0
}

[2]
{
  "formula": "ZrBRh3",
  "functional": "PBE",
  "state": "relaxed",
  "lattice": [[-9.194, 8.524, 0.307], [-2.519, 4.167, -6.048], [1.527, -4.806, -5.904]],
  "species": ["B", "B", "B", "B", "Rh", "Rh", "Rh", "Rh", "Rh", "Rh", "Rh", "Rh", "Rh", "Rh", "Rh", "Rh", "Zr", "Zr", "Zr", "Zr"],
  "frac_coords": [[0.750, 0.182, 0.682], [0.250, 0.818, 0.318], [0.750, 0.429, 0.929], [0.250, 0.571, 0.071], [0.506, 0.303, 0.574], [0.994, 0.074, 0.803], [0.494, 0.697, 0.426], [0.006, 0.926, 0.197], [0.995, 0.325, 0.065], [0.505, 0.565, 0.825], [0.005, 0.675, 0.935], [0.495, 0.435, 0.175], [0.971, 0.591, 0.275], [0.529, 0.775, 0.091], [0.029, 0.409, 0.725], [0.471, 0.225, 0.909], [0.449, 0.015, 0.661], [0.051, 0.161, 0.515], [0.551, 0.985, 0.339], [0.949, 0.839, 0.485]],
  "ef_kj_per_mol_fu": -244,
  "magmom_total_mub_per_cell": 0.0
}

[3]
{
  "formula": "PuMnAgTe3",
  "functional": "PBE",
  "state": "relaxed",
  "lattice": [[4.212, 0.000, 0.000], [0.000, 8.000, -0.149], [0.000, -2.236, 9.393]],
  "species": ["Pu", "Pu", "Mn", "Mn", "Ag", "Ag", "Te", "Te", "Te", "Te", "Te", "Te"],
  "frac_coords": [[0.250, 0.207, 0.259], [0.750, 0.793, 0.741], [0.250, 0.678, 0.171], [0.750, 0.322, 0.829], [0.250, 0.091, 0.591], [0.750, 0.909, 0.409], [0.750, 0.911, 0.120], [0.250, 0.089, 0.880], [0.250, 0.700, 0.477], [0.750, 0.300, 0.523], [0.750, 0.427, 0.137], [0.250, 0.573, 0.863]],
  "raw_formation_energy_ev_per_atom": -0.4584,
  "magmom_total_mub_per_cell": 19.9
}

[4]
{
  "formula": "YAlHg2",
  "functional": "PBE",
  "state": "relaxed",
  "lattice": [[4.532, 0.000, 0.000], [0.000, 4.532, 0.000], [2.266, 2.266, 9.978]],
  "species": ["Y", "Y", "Hg", "Hg", "Hg", "Hg", "Al", "Al"],
  "frac_coords": [[0.000, 0.000, 0.000], [0.750, 0.250, 0.500], [0.590, 0.125, 0.250], [0.160, 0.625, 0.250], [0.375, 0.410, 0.750], [0.875, 0.840, 0.750], [0.500, 0.500, 0.000], [0.250, 0.750, 0.500]],
  "ef_kj_per_mol_fu": -35,
  "magmom_total_mub_per_cell": 0.0
}

[5]
{
  "formula": "ZrTcPb2",
  "functional": "PBE",
  "state": "relaxed",
  "lattice": [[4.613, 0.000, 0.000], [0.000, 3.389, -0.002], [0.000, 0.943, 5.668]],
  "species": ["Pb", "Pb", "Tc", "Zr"],
  "frac_coords": [[0.000, 0.060, 0.012], [0.000, 0.440, 0.488], [0.500, 0.250, 0.250], [0.500, 0.750, 0.750]],
  "ef_kj_per_mol_fu": 127,
  "polymorph_energy_mev_per_atom": 272,
  "magmom_total_mub_per_cell": 0.0
}

[6]
{
  "formula": "DyMg2Al",
  "functional": "PBE",
  "state": "relaxed",
  "lattice": [[4.779, 0.000, 0.000], [0.000, 4.385, 0.000], [0.000, 0.000, 4.385]],
  "species": ["Mg", "Mg", "Al", "Dy"],
  "frac_coords": [[0.000, 0.000, 0.500], [0.000, 0.500, 0.000], [0.500, 0.000, 0.000], [0.500, 0.500, 0.500]],
  "ef_kj_per_mol_fu": -79,
  "polymorph_energy_mev_per_atom": 0,
  "magmom_total_mub_per_cell": 0.0
}

[7]
{
  "formula": "Ce2PuMnS5",
  "functional": "PBE",
  "state": "relaxed",
  "lattice": [[3.920, 0.000, 0.000], [-1.960, 8.263, 0.000], [0.000, 0.000, 11.955]],
  "species": ["Ce", "Ce", "Ce", "Ce", "Pu", "Pu", "Mn", "Mn", "S", "S", "S", "S", "S", "S", "S", "S", "S", "S"],
  "frac_coords": [[0.880, 0.760, 0.845], [0.118, 0.236, 0.693], [0.120, 0.240, 0.345], [0.882, 0.764, 0.193], [0.814, 0.628, 0.528], [0.186, 0.372, 0.028], [0.547, 0.094, 0.923], [0.453, 0.906, 0.423], [0.350, 0.700, 0.019], [0.683, 0.366, 0.861], [0.493, 0.986, 0.749], [0.302, 0.604, 0.690], [0.985, 0.970, 0.517], [0.650, 0.300, 0.519], [0.317, 0.634, 0.361], [0.507, 0.014, 0.249], [0.698, 0.396, 0.190], [0.015, 0.030, 0.017]],
  "raw_formation_energy_ev_per_atom": -1.5764,
  "magmom_total_mub_per_cell": 16.3
}

[8]
{
  "formula": "Pr3MgNi",
  "functional": "PBE",
  "state": "relaxed",
  "lattice": [[-4.661, 1.994, 2.047], [-2.857, -3.339, -3.253], [0.063, -3.842, 3.888]],
  "species": ["Pr", "Pr", "Pr", "Ni", "Mg"],
  "frac_coords": [[0.000, 0.500, 0.000], [0.000, 0.000, 0.500], [0.500, 0.000, 0.000], [0.000, 0.000, 0.000], [0.500, 0.500, 0.500]],
  "ef_kj_per_mol_fu": 10,
  "polymorph_energy_mev_per_atom": 141,
  "magmom_total_mub_per_cell": 0.0
}

[9]
{
  "formula": "Sc4ZnPdAu2",
  "functional": "PBE",
  "state": "relaxed",
  "lattice": [[-4.273, -1.425, -1.556], [-0.309, -3.158, -3.556], [-1.468, -7.348, 3.460]],
  "species": ["Sc", "Sc", "Sc", "Sc", "Zn", "Pd", "Au", "Au"],
  "frac_coords": [[0.378, 0.378, 0.867], [0.873, 0.873, 0.381], [0.127, 0.127, 0.619], [0.622, 0.622, 0.133], [0.000, 0.000, 0.000], [0.500, 0.500, 0.500], [0.744, 0.744, 0.767], [0.256, 0.256, 0.233]],
  "ef_kj_per_mol_fu": -560,
  "magmom_total_mub_per_cell": 0.0
}

[10]
{
  "formula": "HoNi2",
  "functional": "PBE",
  "state": "relaxed",
  "lattice": [[5.052, 0.000, 0.000], [2.526, 4.375, 0.000], [2.526, 1.458, 4.125]],
  "species": ["Ho", "Ho", "Ni", "Ni", "Ni", "Ni"],
  "frac_coords": [[0.750, 0.750, 0.750], [0.500, 0.500, 0.500], [0.125, 0.125, 0.625], [0.125, 0.625, 0.125], [0.125, 0.125, 0.125], [0.625, 0.125, 0.125]],
  "ef_kj_per_mol_fu": -135,
  "magmom_total_mub_per_cell": 0.0
}

[11]
{
  "formula": "PaHgBi2",
  "functional": "PBE",
  "state": "relaxed",
  "lattice": [[4.151, 0.000, 0.000], [0.000, 4.151, 0.000], [0.000, 0.000, 6.740]],
  "species": ["Pa", "Bi", "Bi", "Hg"],
  "frac_coords": [[0.500, 0.500, 0.500], [0.000, 0.000, 0.731], [0.000, 0.000, 0.269], [0.500, 0.500, 0.000]],
  "ef_kj_per_mol_fu": -38,
  "polymorph_energy_mev_per_atom": 54,
  "magmom_total_mub_per_cell": 0.5
}

[12]
{
  "formula": "Sc2AlV2Fe5",
  "functional": "PBE",
  "state": "relaxed",
  "lattice": [[-0.538, 2.967, 0.073], [-3.978, -0.508, -8.657], [-8.504, -1.640, 4.004]],
  "species": ["Sc", "Sc", "Sc", "Sc", "Al", "Al", "V", "V", "V", "V", "Fe", "Fe", "Fe", "Fe", "Fe", "Fe", "Fe", "Fe", "Fe", "Fe"],
  "frac_coords": [[0.000, 0.673, 0.173], [0.000, 0.327, 0.827], [0.000, 0.173, 0.327], [0.000, 0.827, 0.673], [0.000, 0.000, 0.000], [0.000, 0.500, 0.500], [0.000, 0.127, 0.627], [0.000, 0.873, 0.373], [0.000, 0.627, 0.873], [0.000, 0.373, 0.127], [0.500, 0.202, 0.065], [0.500, 0.798, 0.935], [0.500, 0.065, 0.798], [0.500, 0.702, 0.435], [0.500, 0.935, 0.202], [0.500, 0.298, 0.565], [0.500, 0.565, 0.702], [0.500, 0.435, 0.298], [0.500, 0.500, 0.000], [0.500, 0.000, 0.500]],
  "ef_kj_per_mol_fu": -21,
  "magmom_total_mub_per_cell": 1.1
}